1.
! UGa2Au PBE relaxed; values from VASP
&SYSTEM
  ibrav = 0, nat = 4, ntyp = 3
/
ATOMIC_SPECIES
U 238.03 U.upf
Ga 69.72 Ga.upf
Au 196.97 Au.upf
CELL_PARAMETERS angstrom
4.331 0.000 0.000
0.000 4.331 0.000
0.000 0.000 4.325
ATOMIC_POSITIONS crystal
U 0.000 0.000 0.000
Ga 0.000 0.500 0.500
Ga 0.500 0.000 0.500
Au 0.500 0.500 0.000
! Electronic total energy in eV per atom: -5.292
! Energy of formation in kJ/mol of atoms: -13
! Magnetic moment in μB per formula unit: 2.836
! Symmetry: P4/mmm


2.
! AcCe2ThP4 PBE relaxed; values from VASP
&SYSTEM
  ibrav = 0, nat = 8, ntyp = 4
/
ATOMIC_SPECIES
Ac 227.00 Ac.upf
Ce 140.12 Ce.upf
Th 232.04 Th.upf
P 30.97 P.upf
CELL_PARAMETERS angstrom
7.256 0.000 0.000
0.000 4.192 0.000
-2.424 0.000 6.865
ATOMIC_POSITIONS crystal
Ac 0.000 0.000 0.000
Ce 0.500 0.000 0.500
Ce 0.500 0.500 0.000
Th 0.000 0.500 0.500
P 0.257 0.000 0.742
P 0.265 0.500 0.266
P 0.735 0.500 0.734
P 0.743 0.000 0.258
! Electronic total energy in eV per atom: -7.114
! Energy of formation in kJ/mol of atoms: -143
! Magnetic moment in μB per formula unit: 1.308
! Symmetry: P2/m


3.
! LaNd3Te3 PBE relaxed; values from VASP
&SYSTEM
  ibrav = 0, nat = 14, ntyp = 3
/
ATOMIC_SPECIES
La 138.91 La.upf
Nd 144.24 Nd.upf
Te 127.60 Te.upf
CELL_PARAMETERS angstrom
4.688 2.707 6.146
-4.688 2.707 6.146
0.000 -5.413 6.146
ATOMIC_POSITIONS crystal
La 0.181 0.181 0.181
La 0.819 0.819 0.819
Nd 0.157 0.419 0.664
Nd 0.336 0.843 0.581
Nd 0.419 0.664 0.157
Nd 0.581 0.336 0.843
Nd 0.664 0.157 0.419
Nd 0.843 0.581 0.336
Te 0.042 0.812 0.405
Te 0.188 0.595 0.958
Te 0.405 0.042 0.812
Te 0.595 0.958 0.188
Te 0.812 0.405 0.042
Te 0.958 0.188 0.595
! Electronic total energy in eV per atom: -5.250
! E_form (uncorrected) in eV/atom: -1.157
! Magnetic moment in μB per formula unit: 0.000
! Symmetry: R-3


4.
! Tb2PmDy6Sc PBE relaxed; values from VASP
&SYSTEM
  ibrav = 0, nat = 20, ntyp = 4
/
ATOMIC_SPECIES
Tb 158.93 Tb.upf
Pm 145.00 Pm.upf
Dy 162.50 Dy.upf
Sc 44.96 Sc.upf
CELL_PARAMETERS angstrom
4.530 -7.427 0.000
4.530 7.427 0.000
-1.185 0.000 9.359
ATOMIC_POSITIONS crystal
Tb 0.195 0.298 0.452
Tb 0.298 0.195 0.952
Tb 0.702 0.805 0.048
Tb 0.805 0.702 0.548
Pm 0.477 0.523 0.750
Pm 0.523 0.477 0.250
Dy 0.009 0.793 0.884
Dy 0.063 0.506 0.689
Dy 0.207 0.991 0.616
Dy 0.251 0.626 0.056
Dy 0.374 0.749 0.444
Dy 0.494 0.937 0.811
Dy 0.506 0.063 0.189
Dy 0.626 0.251 0.556
Dy 0.749 0.374 0.944
Dy 0.793 0.009 0.384
Dy 0.937 0.494 0.311
Dy 0.991 0.207 0.116
Sc 0.087 0.913 0.250
Sc 0.913 0.087 0.750
! Electronic total energy in eV per atom: -4.669
! Energy of formation in kJ/mol of atoms: 12
! Magnetic moment in μB per formula unit: 0.000
! Symmetry: C2/c


5.
! Ba2Tl6Sb PBE relaxed; values from VASP
&SYSTEM
  ibrav = 0, nat = 9, ntyp = 3
/
ATOMIC_SPECIES
Ba 137.33 Ba.upf
Tl 204.38 Tl.upf
Sb 121.76 Sb.upf
CELL_PARAMETERS angstrom
7.108 0.000 0.000
-3.554 6.156 0.000
0.000 0.000 7.013
ATOMIC_POSITIONS crystal
Ba 0.333 0.667 0.141
Ba 0.667 0.333 0.859
Tl 0.177 0.354 0.666
Tl 0.177 0.823 0.666
Tl 0.354 0.177 0.334
Tl 0.646 0.823 0.666
Tl 0.823 0.177 0.334
Tl 0.823 0.646 0.334
Sb 0.000 0.000 0.000
! Electronic total energy in eV per atom: -2.753
! E_form (uncorrected) in eV/atom: -0.290
! Magnetic moment in μB per formula unit: 0.000
! Symmetry: P-3m1


6.
! TiTe2IrI PBE relaxed; values from VASP
&SYSTEM
  ibrav = 0, nat = 5, ntyp = 4
/
ATOMIC_SPECIES
Ti 47.87 Ti.upf
Te 127.60 Te.upf
Ir 192.22 Ir.upf
I 126.90 I.upf
CELL_PARAMETERS angstrom
5.277 0.000 0.000
0.000 5.277 0.000
0.000 0.000 5.281
ATOMIC_POSITIONS crystal
Ti 0.000 0.000 0.000
Te 0.000 0.500 0.000
Te 0.500 0.000 0.000
Ir 0.500 0.500 0.500
I 0.000 0.000 0.500
! Electronic total energy in eV per atom: -4.001
! E_form (uncorrected) in eV/atom: 0.917
! Magnetic moment in μB per formula unit: 2.311
! Distance to the lowest polymorph of the same formula in meV per atom: 186.6
! Symmetry: P4/mmm


7.
! PuAg7Cl12 PBE relaxed; values from VASP
&SYSTEM
  ibrav = 0, nat = 20, ntyp = 3
/
ATOMIC_SPECIES
Pu 244.00 Pu.upf
Ag 107.87 Ag.upf
Cl 35.45 Cl.upf
CELL_PARAMETERS angstrom
8.696 5.021 2.258
-8.696 5.021 2.258
0.000 -10.041 2.258
ATOMIC_POSITIONS crystal
Pu 0.000 0.000 0.000
Ag 0.018 0.158 0.695
Ag 0.158 0.695 0.018
Ag 0.305 0.982 0.842
Ag 0.500 0.500 0.500
Ag 0.695 0.018 0.158
Ag 0.842 0.305 0.982
Ag 0.982 0.842 0.305
Cl 0.113 0.241 0.352
Cl 0.154 0.735 0.278
Cl 0.241 0.352 0.113
Cl 0.265 0.722 0.846
Cl 0.278 0.154 0.735
Cl 0.352 0.113 0.241
Cl 0.648 0.887 0.759
Cl 0.722 0.846 0.265
Cl 0.735 0.278 0.154
Cl 0.759 0.648 0.887
Cl 0.846 0.265 0.722
Cl 0.887 0.759 0.648
! Electronic total energy in eV per atom: -3.525
! E_form (uncorrected) in eV/atom: -0.702
! Magnetic moment in μB per formula unit: 3.282
! Symmetry: R-3


8.
! SnPHS PBE relaxed; values from VASP
&SYSTEM
  ibrav = 0, nat = 8, ntyp = 4
/
ATOMIC_SPECIES
Sn 118.71 Sn.upf
P 30.97 P.upf
H 1.01 H.upf
S 32.06 S.upf
CELL_PARAMETERS angstrom
13.283 0.000 0.000
0.000 3.138 0.000
-0.658 0.000 3.895
ATOMIC_POSITIONS crystal
Sn 0.000 0.000 0.000
Sn 0.500 0.500 0.000
P 0.206 0.000 0.156
P 0.706 0.500 0.156
H 0.482 0.500 0.486
H 0.982 0.000 0.486
S 0.250 0.500 0.834
S 0.750 0.000 0.834
! Electronic total energy in eV per atom: -4.053
! Magnetic moment in μB per formula unit: 0.000
! Distance to the lowest polymorph of the same formula in meV per atom: 260.2
! Symmetry: Cm


9.
! CuIr2Os PBE relaxed; values from VASP
&SYSTEM
  ibrav = 0, nat = 8, ntyp = 3
/
ATOMIC_SPECIES
Cu 63.55 Cu.upf
Ir 192.22 Ir.upf
Os 190.23 Os.upf
CELL_PARAMETERS angstrom
8.939 0.000 0.000
0.000 2.721 0.000
-0.784 0.000 4.612
ATOMIC_POSITIONS crystal
Cu 0.000 0.000 0.000
Cu 0.500 0.500 0.000
Ir 0.002 0.500 0.489
Ir 0.248 0.000 0.775
Ir 0.502 0.000 0.489
Ir 0.748 0.500 0.775
Os 0.256 0.500 0.267
Os 0.756 0.000 0.267
! Electronic total energy in eV per atom: -8.128
! Energy of formation in kJ/mol of atoms: 13
! Magnetic moment in μB per formula unit: 0.000
! Distance to the lowest polymorph of the same formula in meV per atom: 91.7
! Symmetry: Cm


10.
! Ni2Pt3 PBE relaxed; values from VASP
&SYSTEM
  ibrav = 0, nat = 15, ntyp = 2
/
ATOMIC_SPECIES
Ni 58.69 Ni.upf
Pt 195.08 Pt.upf
CELL_PARAMETERS angstrom
3.701 2.137 4.523
-3.701 2.137 4.523
0.000 -4.273 4.523
ATOMIC_POSITIONS crystal
Ni 0.109 0.448 0.644
Ni 0.356 0.891 0.552
Ni 0.448 0.644 0.109
Ni 0.552 0.356 0.891
Ni 0.644 0.109 0.448
Ni 0.891 0.552 0.356
Pt 0.070 0.881 0.322
Pt 0.119 0.678 0.930
Pt 0.268 0.268 0.268
Pt 0.322 0.070 0.881
Pt 0.500 0.500 0.500
Pt 0.678 0.930 0.119
Pt 0.732 0.732 0.732
Pt 0.881 0.322 0.070
Pt 0.930 0.119 0.678
! Electronic total energy in eV per atom: -5.847
! Energy of formation in kJ/mol of atoms: 9
! Magnetic moment in μB per formula unit: 2.598
! Distance to the lowest polymorph of the same formula in meV per atom: 153.5
! Symmetry: R-3


11.
! GaAg4Au PBE relaxed; values from VASP
&SYSTEM
  ibrav = 0, nat = 6, ntyp = 3
/
ATOMIC_SPECIES
Ga 69.72 Ga.upf
Ag 107.87 Ag.upf
Au 196.97 Au.upf
CELL_PARAMETERS angstrom
2.937 0.000 0.000
0.000 4.776 0.000
-1.405 0.000 7.560
ATOMIC_POSITIONS crystal
Ga 0.000 0.000 0.000
Ag 0.341 0.000 0.675
Ag 0.553 0.500 0.111
Ag 0.670 0.000 0.331
Ag 0.891 0.500 0.781
Au 0.223 0.500 0.448
! Electronic total energy in eV per atom: -2.983
! Energy of formation in kJ/mol of atoms: -3
! Magnetic moment in μB per formula unit: 0.000
! Distance to the lowest polymorph of the same formula in meV per atom: 0.0
! Symmetry: Pm


12.
! Sr2GaBiTe5 PBE relaxed; values from VASP
&SYSTEM
  ibrav = 0, nat = 18, ntyp = 4
/
ATOMIC_SPECIES
Sr 87.62 Sr.upf
Ga 69.72 Ga.upf
Bi 208.98 Bi.upf
Te 127.60 Te.upf
CELL_PARAMETERS angstrom
2.222 -10.158 0.000
2.222 10.158 0.000
0.000 0.000 13.766
ATOMIC_POSITIONS crystal
Sr 0.112 0.888 0.500
Sr 0.123 0.877 0.136
Sr 0.877 0.123 0.636
Sr 0.888 0.112 0.000
Ga 0.438 0.562 0.255
Ga 0.562 0.438 0.755
Bi 0.210 0.790 0.846
Bi 0.790 0.210 0.346
Te 0.046 0.954 0.868
Te 0.282 0.718 0.503
Te 0.314 0.686 0.181
Te 0.358 0.642 0.821
Te 0.498 0.502 0.590
Te 0.502 0.498 0.090
Te 0.642 0.358 0.321
Te 0.686 0.314 0.681
Te 0.718 0.282 0.003
Te 0.954 0.046 0.368
! Electronic total energy in eV per atom: -3.805
! E_form (uncorrected) in eV/atom: -0.919
! Magnetic moment in μB per formula unit: 0.000
! Symmetry: Cmc2_1